Entry 1:
MgAgSb | PBE-GGA | relaxed

energy relative to the lowest polymorph listed for this composition = 51 kJ/mol of formula units

abc: 4.6969 4.6969 7.2578
angles: 90.00 90.00 120.00
Space group P6_3/mmc (No. 194)
Asymmetric unit:
Mg 0.0000 0.0000 0.0000 x2
Ag 0.3333 0.6667 0.2500 x2
Sb 0.3333 0.6667 0.7500 x2

Entry 2:
MgAgSb | PBE-GGA | relaxed

energy relative to the lowest polymorph listed for this composition = 9 kJ/mol of formula units

abc: 7.519 4.388 8.141
angles: 90.00 90.00 90.00
Space group Pnma (No. 62)
Asymmetric unit:
Mg 0.059 0.250 0.221 x4
Ag 0.103 0.250 0.575 x4
Sb 0.217 0.250 0.904 x4

Entry 3:
MgAgSb | PBE-GGA | relaxed

energy relative to the lowest polymorph listed for this composition = 30 kJ/mol of formula units

abc: 7.5987 7.5987 4.0097
angles: 90.00 90.00 120.00
Space group P-62m (No. 189)
Asymmetric unit:
Mg 0.0000 0.6075 0.0000 x3
Ag 0.0000 0.0000 0.0000 x1
Ag 0.3333 0.6667 0.5000 x2
Sb 0.0000 0.2790 0.5000 x3

Entry 4:
MgAgSb | PBE-GGA | relaxed

energy relative to the lowest polymorph listed for this composition = 13 kJ/mol of formula units

abc: 4.5687 4.5687 7.5899
angles: 90.00 90.00 120.00
Space group P6_3mc (No. 186)
Asymmetric unit:
Mg 0.0000 0.0000 0.0000 x2
Ag 0.3333 0.6667 0.3401 x2
Sb 0.3333 0.6667 0.7104 x2

Entry 5:
MgAg2Sb2 | PBE-GGA | relaxed

raw total energy = -3.116 eV per atom

abc: 4.295 17.781 5.867
angles: 90.00 90.00 90.00
Space group Cmc2_1 (No. 36)
Asymmetric unit:
Mg 0.000 0.107 0.000 x4
Ag 0.000 0.320 0.776 x4
Ag 0.000 0.488 0.728 x4
Sb 0.000 0.078 0.507 x4
Sb 0.000 0.290 0.272 x4

Entry 6:
MgAgSb | PBE-GGA | relaxed

energy relative to the lowest polymorph listed for this composition = 1 kJ/mol of formula units

abc: 9.226 9.226 12.728
angles: 90.00 90.00 90.00
Space group I-4c2 (No. 120)
Asymmetric unit:
Mg 0.026 0.225 0.365 x16
Ag 0.000 0.500 0.000 x4
Ag 0.000 0.500 0.250 x4
Ag 0.223 0.277 0.000 x8
Sb 0.024 0.230 0.635 x16